! ZrAs | OQMD via LeMat-Bulk | PBE | relaxed; values from VASP
&SYSTEM
  ibrav = 0, nat = 12, ntyp = 2
/
ATOMIC_SPECIES
As 74.92 As.upf
Zr 91.22 Zr.upf
CELL_PARAMETERS angstrom
-7.609 1.498 2.439
-0.608 -0.907 -5.698
-0.721 -5.118 0.892
ATOMIC_POSITIONS angstrom
As -5.012 -2.496 -2.955
As -2.837 0.215 -1.059
As -4.733 -2.098 -0.443
As -5.861 0.907 0.462
Zr -7.316 -1.897 -1.380
Zr -0.242 0.014 -0.114
Zr -0.716 -0.427 -3.026
As -3.158 -0.295 -4.246
Zr -6.846 -1.455 1.535
Zr -2.829 -3.098 -4.644
Zr -5.343 0.306 -2.567
As -1.702 -2.790 -1.962
! **Space group**: Pm
! **Crystal system**: monoclinic
! **Total energy**: -7.15 eV/atom